No. 1
A plane-wave DFT calculation with meta-GGA SCAN was carried out for a crystal of YTaBiBr2 relaxed with PBEsol.

The space group is P4/mmm (No. 123) and the conventional cell measures 5.134, 5.134 and 6.341 Å, with angles of 90.00, 90.00 and 90.00 degrees. The inequivalent atoms are Y at (0.000, 0.000, 0.000), Ta at (0.000, 0.000, 0.500), Bi at (0.500, 0.500, 0.500) and Br at (0.000, 0.500, 0.000).

The density of states at the Fermi level is 5.2 states/eV/cell. The uncorrected formation energy comes out at 0.42 eV/atom.

***

No. 2
A plane-wave DFT calculation with meta-GGA SCAN was carried out for a crystal of PbAuSe relaxed with PBEsol.

The space group is F-43m (No. 216) and the conventional cell measures 6.762, 6.762 and 6.762 Å, with angles of 90.00, 90.00 and 90.00 degrees. The inequivalent atoms are Pb at (0.000, 0.000, 0.000), Au at (0.000, 0.000, 0.500) and Se at (0.250, 0.250, 0.750).

The density of states at the Fermi level is 4.8 states/eV/cell. The uncorrected formation energy comes out at 0.13 eV/atom.

***

No. 3
A plane-wave DFT calculation with meta-GGA SCAN was carried out for a crystal of NbCoBr2 relaxed with PBEsol.

The space group is R-3m (No. 166, hexagonal axes) and the conventional cell measures 3.2543, 3.2543 and 24.9132 Å, with angles of 90.00, 90.00 and 120.00 degrees. The inequivalent atoms are Nb at (0.0000, 0.0000, 0.0000), Co at (0.0000, 0.0000, 0.5000) and Br at (0.0000, 0.0000, 0.1029).

The density of states at the Fermi level is 12.2 states/eV/cell. The uncorrected formation energy comes out at 0.23 eV/atom. The value obtained for the polymorph energy (0 for the lowest one) is 0.0 kJ/mol of atoms.

***

No. 4
A plane-wave DFT calculation with meta-GGA SCAN was carried out for a crystal of Hf2BiIrPd relaxed with PBEsol.

The space group is P4/mmm (No. 123) and the conventional cell measures 4.947, 4.947 and 5.057 Å, with angles of 90.00, 90.00 and 90.00 degrees. The inequivalent atoms are Hf at (0.000, 0.500, 0.000), Bi at (0.000, 0.000, 0.500), Ir at (0.000, 0.000, 0.000) and Pd at (0.500, 0.500, 0.500).

The density of states at the Fermi level is 5.0 states/eV/cell. Its total energy is -61.08 eV per atom.

***

No. 5
A plane-wave DFT calculation with meta-GGA SCAN was carried out for a crystal of MnRh2Br relaxed with PBEsol.

The space group is Immm (No. 71) and the conventional cell measures 2.919, 4.670 and 8.718 Å, with angles of 90.00, 90.00 and 90.00 degrees. The inequivalent atoms are Mn at (0.000, 0.000, 0.000), Rh at (0.000, 0.500, 0.249) and Br at (0.000, 0.000, 0.500).

The density of states at the Fermi level is 6.1 states/eV/cell. The uncorrected formation energy comes out at 0.27 eV/atom. The value obtained for the polymorph energy (0 for the lowest one) is 7.1 kJ/mol of atoms.

***

No. 6
A plane-wave DFT calculation with meta-GGA SCAN was carried out for a crystal of BeSnN2 relaxed with PBEsol.

The space group is I-42d (No. 122) and the conventional cell measures 4.423, 4.423 and 8.951 Å, with angles of 90.00, 90.00 and 90.00 degrees. The inequivalent atoms are Be at (0.000, 0.000, 0.000), Sn at (0.000, 0.000, 0.500) and N at (0.195, 0.250, 0.125).

The density of states at the Fermi level is 0.0 states/eV/cell. The uncorrected formation energy comes out at -0.43 eV/atom.

***

No. 7
A plane-wave DFT calculation with meta-GGA SCAN was carried out for a crystal of TmGaPd2 relaxed with PBEsol.

The space group is Fm-3m (No. 225) and the conventional cell measures 6.454, 6.454 and 6.454 Å, with angles of 90.00, 90.00 and 90.00 degrees. The inequivalent atoms are Tm at (0.000, 0.000, 0.000), Ga at (0.000, 0.000, 0.500) and Pd at (0.250, 0.250, 0.250).

The density of states at the Fermi level is 7.1 states/eV/cell. Its total energy is -34.34 eV per atom.

***

No. 8
A plane-wave DFT calculation with meta-GGA SCAN was carried out for a crystal of Be3SbMo relaxed with PBEsol.

The space group is Pm-3m (No. 221) and the conventional cell measures 4.325, 4.325 and 4.325 Å, with angles of 90.00, 90.00 and 90.00 degrees. The inequivalent atoms are Be at (0.000, 0.000, 0.500), Sb at (0.500, 0.500, 0.500) and Mo at (0.000, 0.000, 0.000).

The density of states at the Fermi level is 2.1 states/eV/cell. The uncorrected formation energy comes out at 1.16 eV/atom. The value obtained for the polymorph energy (0 for the lowest one) is 0.0 kJ/mol of atoms.

***

No. 9
A plane-wave DFT calculation with meta-GGA SCAN was carried out for a crystal of BeZn4Ru relaxed with PBEsol.

The space group is F-43m (No. 216) and the conventional cell measures 6.769, 6.769 and 6.769 Å, with angles of 90.00, 90.00 and 90.00 degrees. The inequivalent atoms are Be at (0.000, 0.000, 0.000), Zn at (0.125, 0.125, 0.375) and Ru at (0.250, 0.250, 0.750).

The density of states at the Fermi level is 13.7 states/eV/cell. Its total energy is -15.38 eV per atom.

***

No. 10
A plane-wave DFT calculation with meta-GGA SCAN was carried out for a crystal of Ca3SiSe relaxed with PBEsol.

The space group is Pm-3m (No. 221) and the conventional cell measures 5.334, 5.334 and 5.334 Å, with angles of 90.00, 90.00 and 90.00 degrees. The inequivalent atoms are Ca at (0.000, 0.000, 0.500), Si at (0.500, 0.500, 0.500) and Se at (0.000, 0.000, 0.000).

The uncorrected formation energy comes out at -0.72 eV/atom.

***

No. 11
A plane-wave DFT calculation with meta-GGA SCAN was carried out for a crystal of ScAsPBr2 relaxed with PBEsol.

The space group is P4/mmm (No. 123) and the conventional cell measures 4.975, 4.975 and 5.598 Å, with angles of 90.00, 90.00 and 90.00 degrees. The inequivalent atoms are Sc at (0.000, 0.000, 0.000), As at (0.000, 0.000, 0.500), P at (0.500, 0.500, 0.500) and Br at (0.000, 0.500, 0.000).

The density of states at the Fermi level is 0.3 states/eV/cell. The uncorrected formation energy comes out at -0.19 eV/atom.

***

No. 12
A plane-wave DFT calculation with meta-GGA SCAN was carried out for a crystal of ScReSi2 relaxed with PBEsol.

The space group is Amm2 (No. 38) and the conventional cell measures 4.036, 3.154 and 9.192 Å, with angles of 90.00, 90.00 and 90.00 degrees. The inequivalent atoms are Sc at (0.000, 0.000, 0.000), Re at (0.500, 0.000, 0.708), Si at (0.000, 0.000, 0.271) and Si at (0.500, 0.000, 0.423).

The density of states at the Fermi level is 2.5 states/eV/cell. The uncorrected formation energy comes out at -0.39 eV/atom.